4
Lattice="0.000 3.127 3.127 3.127 0.000 3.127 3.127 3.127 0.000" Properties=species:S:1:pos:R:3 comment="BiSbN2 PBE relaxed" total_magnetization_mub_per_cell=0.00 de_polymorph_mev_per_atom=1284.7 dos_ef_per_ev_cell=3.35 energy_ev_per_cell=-19.14 pbc="T T T"
Sb 0.000 0.000 0.000
Bi 3.127 3.127 3.127
N 1.564 1.564 1.564
N 4.691 4.691 4.691

5
Lattice="-4.565 1.848 -2.769 4.639 -3.020 -1.138 -4.431 -7.945 1.718" Properties=species:S:1:pos:R:3 comment="Bi2SbN2 PBE relaxed" total_magnetization_mub_per_cell=0.00 dos_ef_per_ev_cell=1.99 energy_ev_per_cell=-27.58 pbc="T T T"
Bi -2.423 -0.506 -2.024
Bi -1.935 -8.611 -0.164
Sb 0.000 0.000 0.000
N 2.045 -6.585 -0.322
N -6.403 -2.532 -1.867

> Which formula does entry 1 have?

BiSbN2